Density functional theory data (PBE-GGA) for an optimized crystal structure of NaNiPd3.

## Properties
DOS at the Fermi energy: 6.6 states/eV/cell
final energy: -4.065 eV/atom
SG: Pm-3m
energy above the lowest structure with this stoichiometry: 0.000 eV per atom

Unit cell a=4.655 b=4.655 c=4.655 alpha=90.00 beta=90.00 gamma=90.00
Positions (direct):
Na: 0.000 0.000 0.000
Ni: 0.500 0.500 0.500
Pd: 0.000 0.500 0.500
Pd: 0.500 0.000 0.500
Pd: 0.500 0.500 0.000